Density functional theory data (PBE) for crystalline CaGa3Hg at its relaxed geometry.

Cell lengths 5.715, 5.715, 5.715 Å; angles 90.00, 90.00, 90.00 degrees
Space group Pm-3m (No. 221)
One atom of each set of equivalent atoms:
Ca 0.000 0.000 0.000
Ga 0.000 0.000 0.500
Hg 0.500 0.500 0.500

Output
* energy above the lowest structure with this stoichiometry: 978 meV per atom
* D(E_F): 6.16 states/eV/f.u.
* calculated formation energy: 0.663 eV/atom
* volume: 186.65 Å³/cell


Density functional theory data (PBE) for crystalline CaGaHg2 at its relaxed geometry.

Cell lengths 4.621, 17.585, 9.775 Å; angles 90.00, 90.00, 90.00 degrees
Space group Cmcm (No. 63)
One atom of each set of equivalent atoms:
Ca 0.000 0.000 0.000
Ca 0.000 0.200 0.250
Ga 0.000 0.355 0.524
Hg 0.000 0.195 0.594
Hg 0.000 0.400 0.250
Hg 0.000 0.441 0.750

Output
* D(E_F): 1.94 states/eV/f.u.
* calculated formation energy: -0.323 eV/atom
* volume: 794.27 Å³/cell


Density functional theory data (PBE) for crystalline Ca2Ga2Hg at its relaxed geometry.

Cell lengths 3.665, 4.663, 14.351 Å; angles 90.00, 90.00, 90.00 degrees
Space group Amm2 (No. 38)
One atom of each set of equivalent atoms:
Ca 0.000 0.000 0.000
Ca 0.000 0.000 0.237
Ga 0.500 0.000 0.624
Ga 0.500 0.000 0.811
Hg 0.500 0.000 0.421

Output
* energy above the lowest structure with this stoichiometry: 57 meV per atom
* D(E_F): 2.62 states/eV/f.u.
* calculated formation energy: -0.407 eV/atom
* volume: 245.29 Å³/cell


Calculated uncorrected energy, -1.614 -1.731 -2.478 eV/atom (same order as the records).